1.
Here is Al2Ag2Se after structural relaxation from Alexandria. Energies are from GGA-PBE.

Properties
D(E_F)	0.28	states/eV/atom
formation energy (no corrections)	0.027	eV per atom
raw total energy	-0.243	Ry per atom

a b c (Å): 8.215 8.215 2.803
angles (deg): 90.00 90.00 90.00
Space group P4/mbm (No. 127)
Asymmetric unit:
1 Al 0.186 0.314 0.000 (multiplicity 4)
2 Ag 0.117 0.617 0.500 (multiplicity 4)
3 Se 0.000 0.000 0.000 (multiplicity 2)

---

2.
Here is Be3HAu after structural relaxation from Alexandria. Energies are from GGA-PBE.

Properties
D(E_F)	0.45	states/eV/atom
raw total energy	-0.188	Ry per atom

a b c (Å): 4.368 4.368 4.368
angles (deg): 90.00 90.00 90.00
Space group Pm-3m (No. 221)
Asymmetric unit:
1 Be 0.000 0.000 0.500 (multiplicity 3)
2 H 0.500 0.500 0.500 (multiplicity 1)
3 Au 0.000 0.000 0.000 (multiplicity 1)